No. 1
This record from Alexandria describes a geometry-optimized TePtF structure. The functional is GGA-PBE.

Summary:
space-group type = P2_1/m, No. 11
ΔE to the lowest computed polymorph = 0.000 eV per atom
VASP energy = -4.58 eV/atom
D(E_F) = 1.6 states/eV/cell
E_form (uncorrected) = -893 meV per atom

```
TePtF
1.0
4.6786 0.0000 0.0000
0.0000 3.9578 0.0000
-1.5060 0.0000 6.7113
Te Pt F
2 2 2
direct
0.0746 0.2500 0.2144 Te
0.9254 0.7500 0.7856 Te
0.3582 0.7500 0.0867 Pt
0.6418 0.2500 0.9133 Pt
0.2882 0.2500 0.6605 F
0.7118 0.7500 0.3395 F
```

***

No. 2
This record from Alexandria describes a geometry-optimized TePtF structure. The functional is GGA-PBE.

Summary:
space-group type = P1, No. 1
ΔE to the lowest computed polymorph = 0.099 eV per atom
VASP energy = -4.48 eV/atom
D(E_F) = 1.9 states/eV/cell
E_form (uncorrected) = -793 meV per atom

```
TePtF
1.0
4.3382 0.0000 0.0000
-0.6304 4.5395 0.0000
-1.2251 -1.3454 6.6570
Te Pt F
2 2 2
direct
0.0000 0.0000 0.0000 Te
0.1943 0.4623 0.4327 Te
0.5623 0.2952 0.1860 Pt
0.8780 0.8774 0.3283 Pt
0.0471 0.5762 0.8727 F
0.7024 0.8965 0.6046 F
```

***

No. 3
This record from Alexandria describes a geometry-optimized ZrTePt2F structure. The functional is GGA-PBE.

Summary:
space-group type = P4/mmm, No. 123
VASP energy = -5.75 eV/atom
D(E_F) = 3.7 states/eV/cell
E_form (uncorrected) = -621 meV per atom

```
ZrTePt2F
1.0
5.1387 0.0000 0.0000
0.0000 5.1387 0.0000
0.0000 0.0000 4.0830
Zr Te Pt F
1 1 2 1
direct
0.0000 0.0000 0.0000 Zr
0.5000 0.5000 0.5000 Te
0.0000 0.5000 0.0000 Pt
0.5000 0.0000 0.0000 Pt
0.0000 0.0000 0.5000 F
```

***

No. 4
This record from Alexandria describes a geometry-optimized TiPt2F structure. The functional is GGA-PBE.

Summary:
space-group type = Fm-3m, No. 225
ΔE to the lowest computed polymorph = 0.187 eV per atom
VASP energy = -6.12 eV/atom
D(E_F) = 2.7 states/eV/cell
E_form (uncorrected) = -654 meV per atom

```
TiPt2F
1.0
0.0000 3.0720 3.0720
3.0720 0.0000 3.0720
3.0720 3.0720 0.0000
Ti Pt F
1 2 1
direct
0.0000 0.0000 0.0000 Ti
0.2500 0.2500 0.2500 Pt
0.7500 0.7500 0.7500 Pt
0.5000 0.5000 0.5000 F
```

***

Which of these has the lowest E_form (uncorrected)?
number 1